Record 1
CeTcGe2Rh, optimized geometry, DFT GGA-PBE; magnetization = 0.850 Bohr magnetons per cell; E_form = -0.668 eV per atom
1.0
-2.751 -1.997 2.625
3.208 -0.829 2.732
-1.124 5.766 -0.306
Tc Ge Rh Ce
1 2 1 1
direct
0.250 0.750 0.500
0.629 0.629 0.258
0.371 0.371 0.742
0.750 0.250 0.500
0.000 0.000 0.000


Record 2
Sc8Tl2Co, optimized geometry, DFT GGA-PBE; magnetization = 1.921 Bohr magnetons per cell; E_form = -0.188 eV per atom
1.0
-4.968 -0.855 -0.775
1.439 -3.623 -5.225
2.135 -3.749 7.234
Sc Co Tl
8 1 2
direct
0.620 0.385 0.239
0.811 0.805 0.622
0.376 0.133 0.752
0.624 0.867 0.248
0.189 0.195 0.378
0.380 0.615 0.761
0.999 0.241 0.998
0.001 0.759 0.002
0.500 0.000 0.000
0.815 0.314 0.629
0.185 0.686 0.371


Record 3
MgZn6Ga3, optimized geometry, DFT GGA-PBE; magnetization = 0.000 Bohr magnetons per cell; E_form = 0.109 eV per atom
1.0
4.554 0.000 0.000
-1.518 6.910 0.000
-1.518 -3.455 5.984
Zn Ga Mg
6 3 1
direct
0.770 0.000 0.623
0.213 0.000 0.446
0.213 0.446 0.000
0.147 0.377 0.377
0.770 0.623 0.000
0.767 0.554 0.554
0.650 0.252 0.000
0.398 0.748 0.748
0.650 0.000 0.252
0.084 0.000 0.000


Record 4
LiInS2, optimized geometry, DFT GGA-PBE; magnetization = 0.000 Bohr magnetons per cell; formation energy without anion corrections = -3.76 eV per formula unit
1.0
6.577 0.000 0.000
0.000 6.983 0.000
0.000 0.000 8.158
S Li In
8 4 4
direct
0.501 0.419 0.372
0.501 0.919 0.128
0.001 0.581 0.628
0.994 0.583 0.123
0.494 0.417 0.877
0.494 0.917 0.623
0.994 0.083 0.377
0.001 0.081 0.872
0.120 0.415 0.876
0.620 0.085 0.376
0.620 0.585 0.124
0.120 0.915 0.624
0.621 0.081 0.874
0.621 0.581 0.626
0.121 0.419 0.374
0.121 0.919 0.126


Record 5
ScAlVRu, optimized geometry, DFT GGA-PBE; magnetization = 0.924 Bohr magnetons per cell; E_form = -0.325 eV per atom
1.0
-2.533 3.579 -0.693
-4.339 -0.139 0.927
-1.607 2.284 3.451
Sc V Al Ru
1 1 1 1
direct
0.250 0.250 0.250
0.000 0.000 0.000
0.500 0.500 0.500
0.750 0.750 0.750


Record 6
RbTl2Hg8, optimized geometry, DFT GGA-PBE; magnetization = 0.000 Bohr magnetons per cell; E_form = -0.085 eV per atom
1.0
4.902 0.000 0.000
0.000 4.902 0.000
0.000 0.000 14.803
Rb Hg Tl
1 8 2
direct
0.000 0.000 0.000
0.500 0.000 0.186
0.500 0.000 0.500
0.500 0.500 0.347
0.000 0.500 0.814
0.500 0.500 0.653
0.000 0.500 0.500
0.500 0.000 0.814
0.000 0.500 0.186
0.000 0.000 0.649
0.000 0.000 0.351


Record 7
CaZn3Ge2, optimized geometry, DFT GGA-PBE; magnetization = 0.000 Bohr magnetons per cell; E_form = -0.225 eV per atom
1.0
-3.322 0.665 2.339
-3.141 -1.933 -7.535
1.881 -6.011 4.380
Ca Zn Ge
2 6 4
direct
0.858 0.716 0.946
0.142 0.284 0.054
0.401 0.802 0.321
0.952 0.904 0.599
0.315 0.629 0.551
0.048 0.096 0.401
0.599 0.198 0.679
0.685 0.371 0.449
0.485 0.970 0.822
0.515 0.030 0.178
0.208 0.416 0.716
0.792 0.584 0.284


Record 8
MgSiRh, optimized geometry, DFT GGA-PBE; magnetization = 0.000 Bohr magnetons per cell; formation energy without anion corrections = -1.03 eV per formula unit
1.0
-0.981 -2.092 -1.884
0.741 -0.738 2.792
-5.843 1.084 1.838
Si Mg Rh
1 1 1
direct
0.333 0.667 0.630
0.000 0.000 0.010
0.667 0.333 0.360


Record 9
KSr2GaRh, optimized geometry, DFT GGA-PBE; magnetization = 0.000 Bohr magnetons per cell; E_form = -0.195 eV per atom
1.0
-1.218 -5.792 -0.480
2.401 -0.948 5.347
-4.455 0.759 2.135
Ga Sr K Rh
1 2 1 1
direct
0.000 0.000 0.500
0.000 0.500 0.000
0.500 0.000 0.000
0.500 0.500 0.500
0.000 0.000 0.000


Record 10
TbNpPb2O6, optimized geometry, DFT GGA-PBE; magnetization = 4.000 Bohr magnetons per cell; formation energy without anion corrections = -23.52 eV per formula unit
1.0
-5.054 3.229 -0.289
-3.254 -5.156 -0.698
-0.886 -0.600 8.560
Np Pb O Tb
2 4 12 2
direct
0.000 0.500 0.000
0.500 0.000 0.500
0.005 0.968 0.251
0.505 0.532 0.751
0.995 0.032 0.749
0.495 0.468 0.249
0.096 0.473 0.757
0.811 0.791 0.951
0.904 0.527 0.243
0.292 0.691 0.046
0.708 0.309 0.954
0.689 0.291 0.549
0.792 0.809 0.546
0.404 0.973 0.743
0.208 0.191 0.454
0.311 0.709 0.451
0.189 0.209 0.049
0.596 0.027 0.257
0.500 0.000 0.000
0.000 0.500 0.500


Record 11
La7Tm2Cd2, optimized geometry, DFT GGA-PBE; magnetization = 0.000 Bohr magnetons per cell; E_form = 0.174 eV per atom
1.0
6.733 -0.002 -1.678
0.005 9.571 0.004
-2.095 -0.002 6.616
Tm La Cd
2 7 2
direct
0.286 0.000 0.714
0.714 0.000 0.286
0.500 0.225 0.500
0.500 0.675 0.000
0.500 0.325 0.000
0.000 0.000 0.000
0.000 0.675 0.500
0.500 0.775 0.500
0.000 0.325 0.500
0.796 0.500 0.796
0.204 0.500 0.204


Record 12
Ca3LaBr, optimized geometry, DFT GGA-PBE; magnetization = 4.021 Bohr magnetons per cell; formation energy without anion corrections = 3.04 eV per formula unit; energy relative to the lowest polymorph listed for this composition = 4.35 eV per formula unit
1.0
6.487 0.000 0.000
0.000 6.487 0.000
0.000 0.000 6.487
Ca La Br
3 1 1
direct
0.000 0.000 0.500
0.500 0.000 0.000
0.000 0.500 0.000
0.000 0.000 0.000
0.500 0.500 0.500


Record 13
AsO2F, optimized geometry, DFT GGA-PBE; magnetization = 0.000 Bohr magnetons per cell; formation energy without anion corrections = -0.07 eV per formula unit
1.0
0.040 -2.921 -2.246
-2.521 -2.659 0.390
-2.647 -0.416 -2.530
O F As
2 1 1
direct
0.750 0.750 0.750
0.250 0.250 0.250
0.000 0.000 0.000
0.500 0.500 0.500


Record 14
Pr2Sm3Y6In, optimized geometry, DFT GGA-PBE; magnetization = 0.000 Bohr magnetons per cell; E_form = -0.061 eV per atom
1.0
6.176 -0.001 0.003
-3.088 5.349 0.003
-1.038 -1.797 11.647
Y Pr Sm In
6 2 3 1
direct
0.592 0.918 0.753
0.756 0.756 0.248
0.244 0.244 0.752
0.408 0.082 0.247
0.918 0.592 0.753
0.082 0.408 0.247
0.666 0.334 0.000
0.334 0.666 0.000
0.833 0.167 0.500
0.167 0.833 0.500
0.500 0.500 0.500
0.000 0.000 0.000


Record 15
PrGd3Os, optimized geometry, DFT GGA-PBE; magnetization = 22.195 Bohr magnetons per cell; E_form = -0.009 eV per atom
1.0
-3.987 -2.743 -2.599
-2.365 -1.135 4.826
-2.947 4.622 -0.357
Gd Os Pr
3 1 1
direct
0.000 0.500 0.000
0.000 0.000 0.500
0.500 0.000 0.000
0.000 0.000 0.000
0.500 0.500 0.500


Record 16
CsBaF2, optimized geometry, DFT GGA-PBE; magnetization = 0.619 Bohr magnetons per cell; formation energy without anion corrections = -10.13 eV per formula unit; energy relative to the lowest polymorph listed for this composition = 0.00 eV per formula unit
1.0
-1.309 -3.580 -1.400
2.570 -3.132 -0.283
-1.302 -4.263 6.230
F Cs Ba
2 1 1
direct
0.255 0.255 0.236
0.745 0.745 0.764
0.500 0.500 0.500
0.000 0.000 0.000


Record 17
Ce3Pr4SmTe8, optimized geometry, DFT GGA-PBE; magnetization = 3.540 Bohr magnetons per cell; formation energy without anion corrections = -22.58 eV per formula unit
1.0
-6.250 -5.684 -3.067
4.151 -0.236 -8.021
4.591 -1.974 7.470
Ce Pr Te Sm
3 4 8 1
direct
0.500 0.500 0.500
0.000 0.500 0.500
0.500 0.500 0.000
0.500 0.000 0.000
0.000 0.000 0.500
0.500 0.000 0.500
0.000 0.000 0.000
0.248 0.745 0.998
0.752 0.255 0.505
0.749 0.747 0.498
0.752 0.255 0.002
0.750 0.745 0.998
0.248 0.745 0.495
0.251 0.253 0.502
0.250 0.255 0.002
0.000 0.500 0.000


Record 18
ZrMoC2, optimized geometry, DFT GGA-PBE; magnetization = 0.000 Bohr magnetons per cell; energy relative to the lowest polymorph listed for this composition = 3.46 eV per formula unit; E_form = 0.503 eV per atom
1.0
-0.663 0.729 3.075
-2.691 -4.241 0.425
2.533 -1.517 0.906
Zr C Mo
1 2 1
direct
0.000 0.500 0.500
0.500 0.500 0.000
0.000 0.000 0.000
0.500 0.000 0.500


Record 19
CsRb2Au, optimized geometry, DFT GGA-PBE; magnetization = 0.000 Bohr magnetons per cell; energy relative to the lowest polymorph listed for this composition = 0.01 eV per formula unit; E_form = -0.158 eV per atom
1.0
-2.869 0.658 4.168
-4.776 -4.705 -2.562
7.486 -3.575 2.611
Rb Cs Au
2 1 1
direct
0.840 0.849 0.679
0.160 0.169 0.321
0.500 0.509 0.000
0.500 0.009 0.000


Record 20
Tc3AgSe, optimized geometry, DFT GGA-PBE; magnetization = 11.719 Bohr magnetons per cell; formation energy without anion corrections = 11.88 eV per formula unit; energy relative to the lowest polymorph listed for this composition = 6.09 eV per formula unit
1.0
-2.889 4.042 0.903
-1.258 0.193 -4.887
-3.946 -3.021 0.897
Tc Se Ag
3 1 1
direct
0.000 0.500 0.000
0.500 0.000 0.000
0.000 0.000 0.500
0.500 0.500 0.500
0.000 0.000 0.000